Entry 1:
The following is a DFT calculation (PBE-GGA) of Sm3GaPb after structural relaxation.

Cell lengths 16.6727, 6.1681, 11.1178 Å; angles 90.00, 96.79, 90.00 degrees
Closest atoms and distances in Å follow each position.
Space group C2/c (No. 15)
Symmetry-distinct sites (fractional):
Sm 0.0334 0.2437 0.4314 (multiplicity 8)  2 Ga 3.18-3.34, 1 Pb 3.35, 2 Sm 3.40-3.54
Sm 0.1525 0.2057 0.9459 (multiplicity 8)  2 Ga 3.03-3.16, 2 Pb 3.23-3.27, 2 Sm 3.25-3.37
Sm 0.1877 0.4699 0.2282 (multiplicity 8)  3 Ga 3.16-3.41, 2 Sm 3.25-3.52, 3 Pb 3.34-3.41
Ga 0.1237 0.0093 0.6820 (multiplicity 8)  1 Pb 2.99, 6 Sm 3.03-3.34
Pb 0.0000 0.3240 0.7500 (multiplicity 4)  2 Ga 2.99, 4 Sm 3.23-3.35
Pb 0.2500 0.2500 0.5000 (multiplicity 4)  8 Sm 3.27-3.60, 2 Ga 3.43

Summary:
electronic total energy = -22.80 eV per formula unit
energy of formation from the pure elements = -382 meV per atom

***

Entry 2:
The following is a DFT calculation (PBE-GGA) of Sm12Ga6Pb after structural relaxation.

Cell lengths 10.3257, 10.3257, 10.3257 Å; angles 90.00, 90.00, 90.00 degrees
Closest atoms and distances in Å follow each position.
Space group Im-3 (No. 204)
Symmetry-distinct sites (fractional):
Sm 0.0000 0.2961 0.1892 (multiplicity 24)  3 Ga 2.88-3.13
Ga 0.0000 0.1209 0.5000 (multiplicity 12)  1 Ga 2.50
Pb 0.0000 0.0000 0.0000 (multiplicity 2)  12 Sm 3.63

Summary:
electronic total energy = -85.98 eV per formula unit
energy of formation from the pure elements = -393 meV per atom

***

Entry 3:
The following is a DFT calculation (PBE-GGA) of SmGaPb after structural relaxation.

Cell lengths 3.6902, 3.6902, 11.4919 Å; angles 90.00, 90.00, 90.00 degrees
Closest atoms and distances in Å follow each position.
Space group I4mm (No. 107)
Symmetry-distinct sites (fractional):
Sm 0.0000 0.0000 0.0000 (multiplicity 2)  4 Ga 3.20, 5 Pb 3.44-3.48
Ga 0.0000 0.0000 0.6607 (multiplicity 2)  4 Pb 3.06, 4 Sm 3.20
Pb 0.0000 0.0000 0.2993 (multiplicity 2)  4 Ga 3.06

Summary:
electronic total energy = -12.33 eV per formula unit
energy of formation from the pure elements = -292 meV per atom